Entry from Alexandria via LeMat-Bulk: a relaxed structure of La4HgPb (PBE).

The calculation puts the formation energy at 0.054 eV/atom. Its volume is 32.71 A^3/atom. The density of states at the Fermi level is 36.89 states/eV per cell. As for the electronic total energy: -3.900 eV/atom.

The space group is F-43m (No. 216) and the conventional cell measures 9.225, 9.225 and 9.225 Å, with angles of 90.00, 90.00 and 90.00 degrees. The distinct sites, in fractional coordinates, are La at (0.123, 0.123, 0.123), Hg at (0.000, 0.000, 0.500) and Pb at (0.250, 0.250, 0.750).